A plane-wave DFT calculation with PBE-GGA was carried out for Cs5Tl4 after structural relaxation.

Cell: 6.966 6.969 12.949 Å, 74.48 74.40 60.02°
Positions (direct):
Tl 0.540 0.541 0.379
Cs 0.134 0.133 0.599
Cs 0.866 0.867 0.401
Cs 0.731 0.729 0.809
Cs 0.269 0.271 0.191
Tl 0.460 0.459 0.621
Tl 0.381 0.378 0.859
Cs 0.000 0.000 0.000
Tl 0.619 0.622 0.141

Output
The density of states at the Fermi level is 7.10 states/eV/cell. As for the energy of formation: -0.055 eV per atom. As for the symmetry: No. 12. The total magnetic moment comes out at 0.00 Bohr magnetons per cell. The calculation puts the calculated volume at 57.52 A^3/atom.

A plane-wave DFT calculation with PBE-GGA was carried out for CaHg3Au after structural relaxation.

Cell: 4.616 8.270 7.218 Å, 93.09 108.65 90.00°
Positions (direct):
Ca 0.671 0.257 0.342
Hg 0.002 0.191 0.005
Hg 0.872 0.490 0.745
Hg 0.352 0.248 0.705
Hg 0.128 0.510 0.255
Au 0.818 0.990 0.637
Au 0.182 0.010 0.363
Hg 0.648 0.752 0.295
Hg 0.998 0.809 0.995
Ca 0.329 0.743 0.658

Output
The density of states at the Fermi level is 3.68 states/eV/cell. As for the energy of formation: -0.302 eV per atom. As for the symmetry: No. 12. The total magnetic moment comes out at 0.00 Bohr magnetons per cell. The calculation puts the calculated volume at 26.07 A^3/atom. As for the energy above the most stable polymorph in this dataset: 39 meV per atom.

A plane-wave DFT calculation with PBE-GGA was carried out for Ca2ScTc after structural relaxation.

Cell: 5.821 5.821 5.821 Å, 135.37 135.37 64.95°
Positions (direct):
Tc 0.750 0.250 0.500
Ca 0.500 0.500 0.000
Sc 0.250 0.750 0.500
Ca 0.000 0.000 0.000

Output
The density of states at the Fermi level is 3.51 states/eV/cell. As for the energy of formation: 0.487 eV per atom. As for the symmetry: No. 139. The total magnetic moment comes out at 0.01 Bohr magnetons per cell. The calculation puts the calculated volume at 23.99 A^3/atom. As for the energy above the most stable polymorph in this dataset: 361 meV per atom.

A plane-wave DFT calculation with PBE-GGA was carried out for Cs2SiSnI6 after structural relaxation.

Cell: 8.581 8.581 8.578 Å, 59.99 59.99 90.00°
Positions (direct):
I 0.741 0.741 0.000
Sn 0.000 0.000 0.000
I 0.741 0.741 0.518
Cs 0.750 0.250 0.500
Cs 0.250 0.750 0.500
I 0.259 0.259 0.482
I 0.741 0.259 0.000
Si 0.500 0.500 0.000
I 0.259 0.741 0.000
I 0.259 0.259 0.000

Output
The density of states at the Fermi level is 0.00 states/eV/cell. As for the symmetry: No. 225. The total magnetic moment comes out at 0.00 Bohr magnetons per cell. The calculation puts the calculated volume at 44.65 A^3/atom. For the uncorrected formation energy, the calculation gives -0.804 eV/atom.

A plane-wave DFT calculation with PBE-GGA was carried out for PmPr6Nd2Y3 after structural relaxation.

Cell: 6.374 6.374 12.078 Å, 95.03 95.03 120.02°
Positions (direct):
Y 0.167 0.833 0.500
Pr 0.248 0.248 0.747
Y 0.500 0.500 0.500
Pr 0.085 0.418 0.253
Pr 0.418 0.085 0.253
Nd 0.333 0.667 0.000
Pm 0.000 0.000 0.000
Pr 0.752 0.752 0.253
Pr 0.915 0.582 0.747
Y 0.833 0.167 0.500
Nd 0.667 0.333 0.000
Pr 0.582 0.915 0.747

Output
The density of states at the Fermi level is 16.01 states/eV/cell. As for the energy of formation: 0.010 eV per atom. As for the symmetry: No. 12. The total magnetic moment comes out at 0.00 Bohr magnetons per cell. The calculation puts the calculated volume at 34.86 A^3/atom.

A plane-wave DFT calculation with PBE-GGA was carried out for K2PuRhO6 after structural relaxation.

Cell: 5.567 6.074 6.074 Å, 120.00 90.00 90.00°
Positions (direct):
K 0.363 0.333 0.667
O 0.749 0.144 0.856
Rh 0.500 0.000 0.000
K 0.637 0.667 0.333
O 0.749 0.144 0.288
O 0.251 0.856 0.144
O 0.251 0.856 0.712
O 0.749 0.712 0.856
Pu 0.000 0.000 0.000
O 0.251 0.288 0.144

Output
As for the symmetry: No. 164. The total magnetic moment comes out at 1.19 Bohr magnetons per cell. The calculation puts the calculated volume at 17.79 A^3/atom. For the uncorrected formation energy, the calculation gives -1.727 eV/atom.

A plane-wave DFT calculation with PBE-GGA was carried out for TaZn3Re after structural relaxation.

Cell: 4.651 4.651 4.651 Å, 90.00 90.00 90.00°
Positions (direct):
Ta 0.500 0.500 0.500
Zn 0.000 0.500 0.000
Zn 0.000 0.000 0.500
Zn 0.500 0.000 0.000
Re 0.000 0.000 0.000

Output
The density of states at the Fermi level is 8.33 states/eV/cell. As for the energy of formation: 1.494 eV per atom. As for the symmetry: No. 221. The total magnetic moment comes out at 0.00 Bohr magnetons per cell. The calculation puts the calculated volume at 20.13 A^3/atom. As for the energy above the most stable polymorph in this dataset: 0 meV per atom.

A plane-wave DFT calculation with PBE-GGA was carried out for Pr4YTl after structural relaxation.

Cell: 6.654 9.263 8.555 Å, 112.97 100.29 112.86°
Positions (direct):
Pr 0.242 0.287 0.380
Pr 0.217 0.594 0.760
Pr 0.044 0.167 0.760
Y 0.338 0.588 0.175
Pr 0.758 0.713 0.620
Pr 0.362 0.907 0.620
Pr 0.638 0.093 0.380
Pr 0.783 0.406 0.240
Pr 0.956 0.833 0.240
Y 0.662 0.412 0.825
Tl 0.251 0.001 0.001
Tl 0.749 0.999 0.999

Output
The density of states at the Fermi level is 15.70 states/eV/cell. As for the energy of formation: -0.028 eV per atom. As for the symmetry: No. 15. The total magnetic moment comes out at 0.00 Bohr magnetons per cell. The calculation puts the calculated volume at 34.34 A^3/atom. As for the energy above the most stable polymorph in this dataset: 76 meV per atom.

A plane-wave DFT calculation with PBE-GGA was carried out for MnBe2Al after structural relaxation.

Cell: 6.118 6.118 4.932 Å, 51.67 51.67 90.00°
Positions (direct):
Al 0.250 0.750 0.500
Al 0.500 0.500 0.000
Be 0.110 0.625 0.250
Mn 0.000 0.000 0.000
Mn 0.750 0.250 0.500
Be 0.640 0.125 0.250
Be 0.375 0.360 0.750
Be 0.875 0.890 0.750

Output
The density of states at the Fermi level is 0.00 states/eV/cell. As for the energy of formation: 0.395 eV per atom. As for the symmetry: No. 122. The total magnetic moment comes out at 0.00 Bohr magnetons per cell. The calculation puts the calculated volume at 11.08 A^3/atom.

A plane-wave DFT calculation with PBE-GGA was carried out for AcIn3 after structural relaxation.

Cell: 7.147 7.147 8.984 Å, 66.56 66.56 60.00°
Positions (direct):
In 0.500 0.500 0.000
In 0.500 0.000 0.000
Ac 0.216 0.216 0.353
Ac 0.000 0.000 0.000
In 0.704 0.704 0.327
In 0.266 0.704 0.327
In 0.000 0.500 0.000
Ac 0.784 0.784 0.647
In 0.296 0.734 0.673
In 0.296 0.296 0.673
In 0.704 0.266 0.327
In 0.734 0.296 0.673

Output
The density of states at the Fermi level is 7.15 states/eV/cell. As for the energy of formation: -0.408 eV per atom. As for the symmetry: No. 166. The total magnetic moment comes out at 0.00 Bohr magnetons per cell. The calculation puts the calculated volume at 29.42 A^3/atom.

A plane-wave DFT calculation with PBE-GGA was carried out for Pm12ZnPb7 after structural relaxation.

Cell: 9.247 9.247 9.247 Å, 108.37 108.37 108.37°
Positions (direct):
Pm 0.788 0.326 0.605
Pm 0.958 0.754 0.664
Pm 0.605 0.788 0.326
Pb 0.354 0.011 0.884
Pm 0.042 0.246 0.336
Pb 0.011 0.884 0.354
Pb 0.500 0.500 0.500
Pm 0.754 0.664 0.958
Pm 0.664 0.958 0.754
Pb 0.116 0.646 0.989
Pb 0.884 0.354 0.011
Pm 0.674 0.395 0.212
Pm 0.336 0.042 0.246
Pm 0.326 0.605 0.788
Pb 0.646 0.989 0.116
Zn 0.000 0.000 0.000
Pm 0.212 0.674 0.395
Pb 0.989 0.116 0.646
Pm 0.246 0.336 0.042
Pm 0.395 0.212 0.674

Output
The density of states at the Fermi level is 21.30 states/eV/cell. As for the energy of formation: -0.323 eV per atom. As for the symmetry: No. 148. The total magnetic moment comes out at 3.58 Bohr magnetons per cell. The calculation puts the calculated volume at 31.61 A^3/atom.

A plane-wave DFT calculation with PBE-GGA was carried out for MgSi2Tc after structural relaxation.

Cell: 8.194 8.194 8.194 Å, 21.38 21.38 21.38°
Positions (direct):
Mg 0.750 0.750 0.750
Tc 0.250 0.250 0.250
Si 0.510 0.510 0.510
Si 0.990 0.990 0.990

Output
The density of states at the Fermi level is 2.51 states/eV/cell. As for the symmetry: No. 166. The total magnetic moment comes out at 0.00 Bohr magnetons per cell. The calculation puts the calculated volume at 16.02 A^3/atom. For the uncorrected formation energy, the calculation gives -0.116 eV/atom.

A plane-wave DFT calculation with PBE-GGA was carried out for MnVS2 after structural relaxation.

Cell: 7.791 7.791 7.791 Å, 23.57 23.57 23.57°
Positions (direct):
V 0.500 0.500 0.500
S 0.102 0.102 0.102
Mn 0.000 0.000 0.000
S 0.898 0.898 0.898

Output
The density of states at the Fermi level is 2.75 states/eV/cell. As for the symmetry: No. 166. The total magnetic moment comes out at 3.84 Bohr magnetons per cell. The calculation puts the calculated volume at 16.60 A^3/atom. As for the energy above the most stable polymorph in this dataset: 121 meV per atom. For the uncorrected formation energy, the calculation gives -0.474 eV/atom.

A plane-wave DFT calculation with PBE-GGA was carried out for K3Sn7Pd2 after structural relaxation.

Cell: 15.575 15.575 5.019 Å, 90.00 90.00 161.28°
Positions (direct):
Pd 0.082 0.918 0.000
Sn 0.178 0.822 0.000
K 0.500 0.500 0.500
Sn 0.385 0.615 0.000
Pd 0.918 0.082 0.000
Sn 0.615 0.385 0.000
Sn 0.822 0.178 0.000
Sn 0.000 0.000 0.000
K 0.294 0.706 0.500
Sn 0.885 0.115 0.500
K 0.706 0.294 0.500
Sn 0.115 0.885 0.500

Output
The density of states at the Fermi level is 3.71 states/eV/cell. As for the energy of formation: -0.150 eV per atom. As for the symmetry: No. 65. The total magnetic moment comes out at 0.00 Bohr magnetons per cell. The calculation puts the calculated volume at 32.56 A^3/atom.

A plane-wave DFT calculation with PBE-GGA was carried out for MnBe6Pd5 after structural relaxation.

Cell: 3.972 5.656 6.255 Å, 90.00 108.40 90.00°
Positions (direct):
Be 0.834 0.752 0.669
Pd 0.336 0.000 0.673
Mn 0.000 0.000 0.000
Pd 0.000 0.500 0.000
Be 0.500 0.250 0.000
Pd 0.668 0.500 0.336
Be 0.166 0.752 0.331
Be 0.834 0.248 0.669
Be 0.500 0.750 0.000
Pd 0.332 0.500 0.664
Pd 0.664 0.000 0.327
Be 0.166 0.248 0.331

Output
The density of states at the Fermi level is 4.64 states/eV/cell. As for the energy of formation: -0.480 eV per atom. As for the symmetry: No. 10. The total magnetic moment comes out at 2.02 Bohr magnetons per cell. The calculation puts the calculated volume at 11.11 A^3/atom.

A plane-wave DFT calculation with PBE-GGA was carried out for RbNa2PuO4 after structural relaxation.

Cell: 7.546 7.546 6.672 Å, 116.24 116.24 100.73°
Positions (direct):
O 0.758 0.742 0.977
O 0.800 0.140 0.970
Pu 0.000 0.000 0.000
Na 0.000 0.000 0.500
Pu 0.500 0.500 0.500
O 0.200 0.860 0.030
Na 0.500 0.500 0.000
Rb 0.000 0.500 0.500
Rb 0.000 0.500 0.000
O 0.242 0.258 0.023
O 0.360 0.700 0.530
O 0.758 0.742 0.523
Na 0.500 0.000 0.000
O 0.640 0.300 0.470
Na 0.500 0.000 0.500
O 0.242 0.258 0.477

Output
The density of states at the Fermi level is 9.49 states/eV/cell. As for the symmetry: No. 74. The total magnetic moment comes out at 6.00 Bohr magnetons per cell. The calculation puts the calculated volume at 16.82 A^3/atom. For the uncorrected formation energy, the calculation gives -2.060 eV/atom.

A plane-wave DFT calculation with PBE-GGA was carried out for PrHgP2O8 after structural relaxation.

Cell: 5.269 5.269 7.483 Å, 90.00 90.00 120.00°
Positions (direct):
P 0.333 0.667 0.796
Pr 0.000 0.000 0.000
O 0.170 0.343 0.735
O 0.828 0.170 0.265
Hg 0.000 0.000 0.500
O 0.657 0.828 0.735
O 0.343 0.172 0.265
O 0.172 0.830 0.735
O 0.830 0.657 0.265
O 0.667 0.333 0.997
P 0.667 0.333 0.204
O 0.333 0.667 0.003

Output
The density of states at the Fermi level is 8.76 states/eV/cell. As for the symmetry: No. 164. The total magnetic moment comes out at 0.86 Bohr magnetons per cell. The calculation puts the calculated volume at 15.00 A^3/atom. For the uncorrected formation energy, the calculation gives -2.032 eV/atom.

A plane-wave DFT calculation with PBE-GGA was carried out for Be2Ga2CuPt5 after structural relaxation.

Cell: 3.451 9.018 9.018 Å, 90.00 90.00 90.00°
Positions (direct):
Pt 0.500 0.586 0.700
Pt 0.500 0.700 0.414
Be 0.000 0.871 0.371
Pt 0.500 0.800 0.914
Be 0.000 0.629 0.871
Pt 0.500 0.914 0.200
Be 0.000 0.371 0.129
Pt 0.500 0.200 0.086
Pt 0.500 0.000 0.500
Ga 0.000 0.327 0.827
Ga 0.000 0.673 0.173
Pt 0.500 0.414 0.300
Cu 0.000 0.500 0.500
Pt 0.500 0.086 0.800
Pt 0.500 0.300 0.586
Pt 0.500 0.500 0.000
Cu 0.000 0.000 0.000
Be 0.000 0.129 0.629
Ga 0.000 0.827 0.673
Ga 0.000 0.173 0.327

Output
The density of states at the Fermi level is 3.80 states/eV/cell. As for the energy of formation: -0.474 eV per atom. As for the symmetry: No. 127. The total magnetic moment comes out at 0.00 Bohr magnetons per cell. The calculation puts the calculated volume at 14.03 A^3/atom.

A plane-wave DFT calculation with PBE-GGA was carried out for TeP2W after structural relaxation.

Cell: 8.952 8.952 8.952 Å, 20.50 20.50 20.50°
Positions (direct):
P 0.001 0.001 0.001
W 0.740 0.740 0.740
P 0.277 0.277 0.277
Te 0.482 0.482 0.482

Output
The density of states at the Fermi level is 0.76 states/eV/cell. As for the symmetry: No. 160. The total magnetic moment comes out at 0.00 Bohr magnetons per cell. The calculation puts the calculated volume at 19.26 A^3/atom. For the uncorrected formation energy, the calculation gives 0.326 eV/atom.

A plane-wave DFT calculation with PBE-GGA was carried out for Tm6Cd5Tc after structural relaxation.

Cell: 5.114 7.397 8.080 Å, 90.00 71.55 90.00°
Positions (direct):
Cd 0.329 0.500 0.341
Tm 0.845 0.763 0.311
Cd 0.326 0.000 0.348
Cd 0.671 0.500 0.659
Tc 0.000 0.000 0.000
Cd 0.000 0.500 0.000
Tm 0.500 0.773 0.000
Tm 0.500 0.227 0.000
Tm 0.155 0.237 0.689
Tm 0.845 0.237 0.311
Cd 0.674 0.000 0.652
Tm 0.155 0.763 0.689

Output
The density of states at the Fermi level is 6.81 states/eV/cell. As for the energy of formation: -0.299 eV per atom. As for the symmetry: No. 65. The total magnetic moment comes out at 0.00 Bohr magnetons per cell. The calculation puts the calculated volume at 24.16 A^3/atom.

A plane-wave DFT calculation with PBE-GGA was carried out for NiPt2Se after structural relaxation.

Cell: 4.622 4.622 2.873 Å, 90.00 90.00 90.00°
Positions (direct):
Pt 0.000 0.500 0.000
Se 0.500 0.500 0.500
Ni 0.000 0.000 0.500
Pt 0.500 0.000 0.000

Output
The density of states at the Fermi level is 4.42 states/eV/cell. As for the symmetry: No. 123. The total magnetic moment comes out at 0.96 Bohr magnetons per cell. The calculation puts the calculated volume at 15.34 A^3/atom. For the uncorrected formation energy, the calculation gives 0.193 eV/atom.

A plane-wave DFT calculation with PBE-GGA was carried out for Tc3Ru2Pt2 after structural relaxation.

Cell: 4.763 4.757 6.126 Å, 74.90 130.23 99.57°
Positions (direct):
Tc 0.577 0.270 0.433
Ru 0.714 0.866 0.286
Tc 0.423 0.730 0.567
Ru 0.286 0.134 0.714
Pt 0.866 0.427 0.150
Pt 0.134 0.573 0.850
Tc 0.000 0.000 0.000

Output
The density of states at the Fermi level is 6.54 states/eV/cell. As for the energy of formation: -0.076 eV per atom. As for the symmetry: No. 2. The total magnetic moment comes out at 0.00 Bohr magnetons per cell. The calculation puts the calculated volume at 14.61 A^3/atom. As for the energy above the most stable polymorph in this dataset: 0 meV per atom.